P | ## MgZr2Hg (GGA-PBEsol)

Data for a relaxed structure of MgZr2Hg.

a = 3.191 Å, b = 4.166 Å, c = 6.350 Å
α = 90.00°, β = 90.00°, γ = 90.00°
Element x y z (fractional)
Mg 0.000 0.000 0.000
Zr 0.000 0.000 0.507
Zr 0.500 0.500 0.261
Hg 0.500 0.500 0.765

Values from the calculation:
Magnetization   0.00 μB per formula unit
Symmetry   Pmm2, No. 25

Q | ## MgZr2Hg (GGA-PBEsol)

Data for a relaxed structure of MgZr2Hg.

a = 5.436 Å, b = 5.436 Å, c = 5.436 Å
α = 133.91°, β = 133.91°, γ = 67.23°
Element x y z (fractional)
Mg 0.000 0.000 0.000
Zr 0.250 0.750 0.500
Zr 0.750 0.250 0.500
Hg 0.500 0.500 0.000

Values from the calculation:
Magnetization   0.00 μB per formula unit
Symmetry   I4/mmm, No. 139

The winner here is Q, beating the second structure by 39 meV per atom.